A plane-wave DFT calculation with PBE was carried out for an optimized crystal structure of KCaCrTc2.

Lattice parameters (Å, degrees): 4.5188 4.5188 5.5477 90.00 90.00 90.00
Positions (direct):
K (0.0000, 0.0000, 0.0000)
Ca (0.5000, 0.5000, 0.0000)
Cr (0.0000, 0.0000, 0.5000)
Tc (0.0000, 0.5000, 0.5000)
Tc (0.5000, 0.0000, 0.5000)

## Properties
Density of states at the Fermi level: 6.39 states/eV/cell
V: 22.66 Å³/atom
Formation energy: 1.189 eV per atom
Size of the total moment: 0.00 μB per formula unit